CsV2HgO6 after structural relaxation, computed with GGA+U.

The space group is C2/c (No. 15) and the conventional cell measures 11.338, 13.152 and 5.737 Å, with angles of 90.00, 99.53 and 90.00 degrees. Symmetry generates all atoms from Cs at (0.000, 0.123, 0.250), V at (0.204, 0.430, 0.205), Hg at (0.000, 0.320, 0.750), O at (0.124, 0.323, 0.099), O at (0.150, 0.091, 0.762) and O at (0.164, 0.469, 0.489).

Its total magnetization is 4.204 μB per cell. For the total energy, the calculation gives -0.22657 Ha/atom.